#P
VGa2Ru2: relaxed, GGA-PBE.

- M_tot (μB per cell) = 4.00

Cell and atoms, written as CIF:
```
data_VGa2Ru2
_space_group_name_H-M_alt 'P 1'
_space_group_IT_number 1
_space_group_name_Hall 'P 1'
_cell_length_a 6.9939
_cell_length_b 6.9939
_cell_length_c 2.9787
_cell_angle_alpha 90.00
_cell_angle_beta 90.00
_cell_angle_gamma 90.00
loop_
_atom_site_label
_atom_site_type_symbol
_atom_site_fract_x
_atom_site_fract_y
_atom_site_fract_z
_atom_site_occupancy
Ru1 Ru 0.8334 0.3334 0.5000 1
Ru2 Ru 0.1666 0.6666 0.5000 1
Ru3 Ru 0.3334 0.1666 0.5000 1
Ru4 Ru 0.6666 0.8334 0.5000 1
V1 V 0.5000 0.5000 0.0000 1
V2 V 0.0000 0.0000 0.0000 1
Ga1 Ga 0.3670 0.8670 0.0000 1
Ga2 Ga 0.1330 0.3670 0.0000 1
Ga3 Ga 0.6330 0.1330 0.0000 1
Ga4 Ga 0.8670 0.6330 0.0000 1
```



#Q
VGa2Ru2: relaxed, GGA-PBE.

- M_tot (μB per cell) = 0.00

Cell and atoms, written as CIF:
```
data_VGa2Ru2
_space_group_name_H-M_alt 'P 1'
_space_group_IT_number 1
_space_group_name_Hall 'P 1'
_cell_length_a 6.8729
_cell_length_b 6.8729
_cell_length_c 3.1245
_cell_angle_alpha 90.00
_cell_angle_beta 90.00
_cell_angle_gamma 90.00
loop_
_atom_site_label
_atom_site_type_symbol
_atom_site_fract_x
_atom_site_fract_y
_atom_site_fract_z
_atom_site_occupancy
Ga1 Ga 0.6555 0.8445 0.5000 1
Ga2 Ga 0.8445 0.3445 0.5000 1
Ga3 Ga 0.3445 0.1555 0.5000 1
Ga4 Ga 0.1555 0.6555 0.5000 1
Ru1 Ru 0.8552 0.6448 0.0000 1
Ru2 Ru 0.1448 0.3552 0.0000 1
Ru3 Ru 0.3552 0.8552 0.0000 1
Ru4 Ru 0.6448 0.1448 0.0000 1
V1 V 0.0000 0.0000 0.0000 1
V2 V 0.5000 0.5000 0.0000 1
```



#R
VGa2Ru2: relaxed, GGA-PBE.

- M_tot (μB per cell) = 0.01

Cell and atoms, written as CIF:
```
data_VGa2Ru2
_space_group_name_H-M_alt 'P 1'
_space_group_IT_number 1
_space_group_name_Hall 'P 1'
_cell_length_a 3.3982
_cell_length_b 3.3982
_cell_length_c 6.9915
_cell_angle_alpha 75.93
_cell_angle_beta 75.93
_cell_angle_gamma 90.00
loop_
_atom_site_label
_atom_site_type_symbol
_atom_site_fract_x
_atom_site_fract_y
_atom_site_fract_z
_atom_site_occupancy
V1 V 0.0000 0.0000 0.0000 1
Ru1 Ru 0.4002 0.4002 0.1996 1
Ru2 Ru 0.5998 0.5998 0.8004 1
Ga1 Ga 0.2500 0.7500 0.5000 1
Ga2 Ga 0.7500 0.2500 0.5000 1
```



Here are the energies relative to the best structure, in meV per atom: #P 0; #Q 56; #R 260.



#P
VGaRu3: relaxed, GGA-PBE.

- M_tot (μB per cell) = 0.00

Cell and atoms, written as CIF:
```
data_VGaRu3
_space_group_name_H-M_alt 'P 1'
_space_group_IT_number 1
_space_group_name_Hall 'P 1'
_cell_length_a 7.0101
_cell_length_b 6.6044
_cell_length_c 6.6044
_cell_angle_alpha 77.82
_cell_angle_beta 90.00
_cell_angle_gamma 90.00
loop_
_atom_site_label
_atom_site_type_symbol
_atom_site_fract_x
_atom_site_fract_y
_atom_site_fract_z
_atom_site_occupancy
V1 V 0.2500 0.1138 0.3777 1
V2 V 0.2500 0.6223 0.8862 1
V3 V 0.7500 0.3777 0.1138 1
V4 V 0.7500 0.8862 0.6223 1
Ru1 Ru 0.0502 0.3017 0.9599 1
Ru2 Ru 0.0000 0.3693 0.3693 1
Ru3 Ru 0.5000 0.6307 0.6307 1
Ru4 Ru 0.9498 0.6983 0.0401 1
Ru5 Ru 0.9498 0.9599 0.3017 1
Ru6 Ru 0.5502 0.6983 0.0401 1
Ru7 Ru 0.5000 0.3693 0.3693 1
Ru8 Ru 0.5502 0.9599 0.3017 1
Ru9 Ru 0.0502 0.0401 0.6983 1
Ru10 Ru 0.4498 0.0401 0.6983 1
Ru11 Ru 0.4498 0.3017 0.9599 1
Ru12 Ru 0.0000 0.6307 0.6307 1
Ga1 Ga 0.7500 0.0314 0.9686 1
Ga2 Ga 0.7500 0.3367 0.6633 1
Ga3 Ga 0.2500 0.9686 0.0314 1
Ga4 Ga 0.2500 0.6633 0.3367 1
```



#Q
VGaRu3: relaxed, GGA-PBE.

- M_tot (μB per cell) = 0.00

Cell and atoms, written as CIF:
```
data_VGaRu3
_space_group_name_H-M_alt 'P 1'
_space_group_IT_number 1
_space_group_name_Hall 'P 1'
_cell_length_a 4.4471
_cell_length_b 4.4471
_cell_length_c 4.4471
_cell_angle_alpha 90.00
_cell_angle_beta 90.00
_cell_angle_gamma 90.00
loop_
_atom_site_label
_atom_site_type_symbol
_atom_site_fract_x
_atom_site_fract_y
_atom_site_fract_z
_atom_site_occupancy
Ga1 Ga 0.5000 0.5000 0.5000 1
Ru1 Ru 0.0000 0.5000 0.0000 1
Ru2 Ru 0.5000 0.0000 0.0000 1
Ru3 Ru 0.0000 0.0000 0.5000 1
V1 V 0.0000 0.0000 0.0000 1
```



Here are the energies relative to the best structure, in meV per atom: #P 0; #Q 966.



#P
GaRuW: relaxed, GGA-PBE.

- M_tot (μB per cell) = 0.00

Cell and atoms, written as CIF:
```
data_GaRuW
_space_group_name_H-M_alt 'P 1'
_space_group_IT_number 1
_space_group_name_Hall 'P 1'
_cell_length_a 2.9534
_cell_length_b 2.9534
_cell_length_c 5.4603
_cell_angle_alpha 105.69
_cell_angle_beta 105.69
_cell_angle_gamma 90.00
loop_
_atom_site_label
_atom_site_type_symbol
_atom_site_fract_x
_atom_site_fract_y
_atom_site_fract_z
_atom_site_occupancy
Ga1 Ga 0.0072 0.0072 0.0144 1
Ru1 Ru 0.6624 0.6624 0.3249 1
W1 W 0.3304 0.3304 0.6608 1
```



#Q
GaRuW: relaxed, GGA-PBE.

- M_tot (μB per cell) = 0.00

Cell and atoms, written as CIF:
```
data_GaRuW
_space_group_name_H-M_alt 'P 1'
_space_group_IT_number 1
_space_group_name_Hall 'P 1'
_cell_length_a 5.9737
_cell_length_b 6.2371
_cell_length_c 6.2374
_cell_angle_alpha 58.04
_cell_angle_beta 77.56
_cell_angle_gamma 77.56
loop_
_atom_site_label
_atom_site_type_symbol
_atom_site_fract_x
_atom_site_fract_y
_atom_site_fract_z
_atom_site_occupancy
Ru1 Ru 0.8946 0.5613 0.3112 1
Ru2 Ru 0.1054 0.9388 0.1888 1
Ru3 Ru 0.8946 0.0612 0.8112 1
Ru4 Ru 0.1054 0.4387 0.6888 1
W1 W 0.4252 0.5449 0.2949 1
W2 W 0.5748 0.4551 0.7051 1
W3 W 0.5748 0.9551 0.2051 1
W4 W 0.4252 0.0449 0.7949 1
Ga1 Ga 0.8036 0.8463 0.5962 1
Ga2 Ga 0.8036 0.3463 0.0962 1
Ga3 Ga 0.1964 0.6537 0.9038 1
Ga4 Ga 0.1964 0.1537 0.4038 1
```



Here are the energies relative to the best structure, in meV per atom: #P 0; #Q 212.



#P
ZnGa2Ru2: relaxed, GGA-PBE.

- M_tot (μB per cell) = 0.00

Cell and atoms, written as CIF:
```
data_ZnGa2Ru2
_space_group_name_H-M_alt 'P 1'
_space_group_IT_number 1
_space_group_name_Hall 'P 1'
_cell_length_a 6.8847
_cell_length_b 6.8847
_cell_length_c 3.0916
_cell_angle_alpha 90.00
_cell_angle_beta 90.00
_cell_angle_gamma 90.00
loop_
_atom_site_label
_atom_site_type_symbol
_atom_site_fract_x
_atom_site_fract_y
_atom_site_fract_z
_atom_site_occupancy
Ru1 Ru 0.8402 0.3402 0.5000 1
Ru2 Ru 0.1598 0.6598 0.5000 1
Ru3 Ru 0.3402 0.1598 0.5000 1
Ru4 Ru 0.6598 0.8402 0.5000 1
Zn1 Zn 0.5000 0.5000 0.0000 1
Zn2 Zn 0.0000 0.0000 0.0000 1
Ga1 Ga 0.1376 0.3624 0.0000 1
Ga2 Ga 0.6376 0.1376 0.0000 1
Ga3 Ga 0.3624 0.8624 0.0000 1
Ga4 Ga 0.8624 0.6376 0.0000 1
```



#Q
ZnGa2Ru2: relaxed, GGA-PBE.

- M_tot (μB per cell) = 0.00

Cell and atoms, written as CIF:
```
data_ZnGa2Ru2
_space_group_name_H-M_alt 'P 1'
_space_group_IT_number 1
_space_group_name_Hall 'P 1'
_cell_length_a 6.7672
_cell_length_b 6.7672
_cell_length_c 3.2751
_cell_angle_alpha 90.00
_cell_angle_beta 90.00
_cell_angle_gamma 90.00
loop_
_atom_site_label
_atom_site_type_symbol
_atom_site_fract_x
_atom_site_fract_y
_atom_site_fract_z
_atom_site_occupancy
Ga1 Ga 0.8514 0.3514 0.5000 1
Ga2 Ga 0.3514 0.1486 0.5000 1
Ga3 Ga 0.6486 0.8514 0.5000 1
Ga4 Ga 0.1486 0.6486 0.5000 1
Ru1 Ru 0.8494 0.6506 0.0000 1
Ru2 Ru 0.1506 0.3494 0.0000 1
Ru3 Ru 0.3494 0.8494 0.0000 1
Ru4 Ru 0.6506 0.1506 0.0000 1
Zn1 Zn 0.5000 0.5000 0.0000 1
Zn2 Zn 0.0000 0.0000 0.0000 1
```



Here are the energies relative to the best structure, in meV per atom: #P 95; #Q 0.